CaSiRu2 | PBE | relaxed

Electronic total energy   -6.498 eV/atom
Space-group type   Immm
E_form (uncorrected)   -4 meV per atom

Lattice parameters (Å, degrees): 3.039 5.038 8.690 90.00 90.00 90.00
Sites, in units of the cell vectors:
Ca 0.000 0.000 0.000
Ca 0.500 0.500 0.500
Si 0.000 0.000 0.500
Si 0.500 0.500 0.000
Ru 0.000 0.500 0.209
Ru 0.000 0.500 0.791
Ru 0.500 0.000 0.291
Ru 0.500 0.000 0.709

CaSi4Ru | PBE | relaxed

Electronic total energy   -5.242 eV/atom
Space-group type   F-43m
E_form (uncorrected)   253 meV per atom

Lattice parameters (Å, degrees): 5.127 5.127 5.127 60.00 60.00 60.00
Sites, in units of the cell vectors:
Ca 0.000 0.000 0.000
Si 0.376 0.376 0.376
Si 0.376 0.376 0.871
Si 0.376 0.871 0.376
Si 0.871 0.376 0.376
Ru 0.750 0.750 0.750

CaSiRu2 | PBE | relaxed

Electronic total energy   -6.268 eV/atom
Space-group type   I-4m2
E_form (uncorrected)   226 meV per atom

Lattice parameters (Å, degrees): 3.828 3.828 8.711 90.00 90.00 90.00
Sites, in units of the cell vectors:
Ca 0.000 0.000 0.000
Ca 0.500 0.500 0.500
Si 0.000 0.500 0.250
Si 0.500 0.000 0.750
Ru 0.000 0.000 0.500
Ru 0.000 0.500 0.750
Ru 0.500 0.000 0.250
Ru 0.500 0.500 0.000

CaSi2Ru2 | PBE | relaxed

Electronic total energy   -6.747 eV/atom
Space-group type   P4/mbm
E_form (uncorrected)   -467 meV per atom

Lattice parameters (Å, degrees): 7.289 7.289 2.880 90.00 90.00 90.00
Sites, in units of the cell vectors:
Ca 0.000 0.000 0.000
Ca 0.500 0.500 0.000
Si 0.134 0.366 0.000
Si 0.366 0.866 0.000
Si 0.634 0.134 0.000
Si 0.866 0.634 0.000
Ru 0.151 0.651 0.500
Ru 0.349 0.151 0.500
Ru 0.651 0.849 0.500
Ru 0.849 0.349 0.500

CaSi7Ru3 | PBE | relaxed

Electronic total energy   -6.589 eV/atom
Space-group type   R-3c
E_form (uncorrected)   -426 meV per atom

Lattice parameters (Å, degrees): 7.954 7.954 7.954 57.72 57.72 57.72
Sites, in units of the cell vectors:
Ca 0.000 0.000 0.000
Ca 0.500 0.500 0.500
Si 0.060 0.855 0.671
Si 0.145 0.329 0.940
Si 0.171 0.355 0.560
Si 0.250 0.250 0.250
Si 0.329 0.940 0.145
Si 0.355 0.560 0.171
Si 0.440 0.829 0.645
Si 0.560 0.171 0.355
Si 0.645 0.440 0.829
Si 0.671 0.060 0.855
Si 0.750 0.750 0.750
Si 0.829 0.645 0.440
Si 0.855 0.671 0.060
Si 0.940 0.145 0.329
Ru 0.078 0.750 0.422
Ru 0.250 0.578 0.922
Ru 0.422 0.078 0.750
Ru 0.578 0.922 0.250
Ru 0.750 0.422 0.078
Ru 0.922 0.250 0.578

Ca2SiRu | PBE | relaxed

Electronic total energy   -5.064 eV/atom
Space-group type   Cm
E_form (uncorrected)   -389 meV per atom

Lattice parameters (Å, degrees): 7.043 4.056 8.058 90.00 106.81 90.00
Sites, in units of the cell vectors:
Ca 0.000 0.000 0.000
Ca 0.176 0.000 0.534
Ca 0.500 0.500 0.000
Ca 0.676 0.500 0.534
Si 0.255 0.500 0.267
Si 0.755 0.000 0.267
Ru 0.421 0.000 0.266
Ru 0.921 0.500 0.266

Ca2Si2Ru | PBE | relaxed

Electronic total energy   -5.231 eV/atom
Space-group type   P4/mbm
E_form (uncorrected)   -406 meV per atom

Lattice parameters (Å, degrees): 6.556 6.556 4.611 90.00 90.00 90.00
Sites, in units of the cell vectors:
Ca 0.179 0.321 0.000
Ca 0.321 0.821 0.000
Ca 0.679 0.179 0.000
Ca 0.821 0.679 0.000
Si 0.133 0.633 0.500
Si 0.367 0.133 0.500
Si 0.633 0.867 0.500
Si 0.867 0.367 0.500
Ru 0.000 0.000 0.500
Ru 0.500 0.500 0.500

Ca2Si7Ru12 | PBE | relaxed

Electronic total energy   -7.779 eV/atom
Space-group type   P-6
E_form (uncorrected)   -481 meV per atom

Lattice parameters (Å, degrees): 9.613 9.613 3.963 90.00 90.00 120.00
Sites, in units of the cell vectors:
Ca 0.000 0.000 0.000
Ca 0.333 0.667 0.500
Si 0.066 0.611 0.000
Si 0.269 0.050 0.500
Si 0.389 0.455 0.000
Si 0.545 0.934 0.000
Si 0.667 0.333 0.000
Si 0.780 0.731 0.500
Si 0.950 0.220 0.500
Ru 0.057 0.761 0.500
Ru 0.098 0.379 0.000
Ru 0.239 0.297 0.500
Ru 0.281 0.902 0.000
Ru 0.393 0.211 0.000
Ru 0.554 0.125 0.500
Ru 0.571 0.446 0.500
Ru 0.621 0.719 0.000
Ru 0.703 0.943 0.500
Ru 0.789 0.181 0.000
Ru 0.819 0.607 0.000
Ru 0.875 0.429 0.500

CaSiRu2 | PBE | relaxed

Electronic total energy   -6.548 eV/atom
Space-group type   P4mm
E_form (uncorrected)   -54 meV per atom

Lattice parameters (Å, degrees): 2.911 2.911 7.820 90.00 90.00 90.00
Sites, in units of the cell vectors:
Ca 0.000 0.000 0.000
Si 0.500 0.500 0.702
Ru 0.000 0.000 0.513
Ru 0.500 0.500 0.298

Ca2SiRu | PBE | relaxed

Electronic total energy   -4.574 eV/atom
Space-group type   I4/mmm
E_form (uncorrected)   101 meV per atom

Lattice parameters (Å, degrees): 4.427 4.427 8.319 90.00 90.00 90.00
Sites, in units of the cell vectors:
Ca 0.000 0.500 0.250
Ca 0.000 0.500 0.750
Ca 0.500 0.000 0.250
Ca 0.500 0.000 0.750
Si 0.000 0.000 0.000
Si 0.500 0.500 0.500
Ru 0.000 0.000 0.500
Ru 0.500 0.500 0.000

SrCaSi2Ru | PBE | relaxed

Electronic total energy   -4.857 eV/atom
Space-group type   P4/mmm
E_form (uncorrected)   -96 meV per atom

Lattice parameters (Å, degrees): 4.758 4.758 5.186 90.00 90.00 90.00
Sites, in units of the cell vectors:
Sr 0.000 0.000 0.000
Ca 0.500 0.500 0.000
Si 0.000 0.500 0.500
Si 0.500 0.000 0.500
Ru 0.500 0.500 0.500

CaSi2TcRu | PBE | relaxed

Electronic total energy   -7.067 eV/atom
Space-group type   I-4m2
E_form (uncorrected)   -569 meV per atom

Lattice parameters (Å, degrees): 4.174 4.174 9.985 90.00 90.00 90.00
Sites, in units of the cell vectors:
Ca 0.000 0.000 0.000
Ca 0.500 0.500 0.500
Si 0.000 0.000 0.371
Si 0.000 0.000 0.629
Si 0.500 0.500 0.129
Si 0.500 0.500 0.871
Tc 0.000 0.500 0.250
Tc 0.500 0.000 0.750
Ru 0.000 0.500 0.750
Ru 0.500 0.000 0.250

CaSmRu4 | PBE | relaxed

Electronic total energy   -7.355 eV/atom
Space-group type   F-43m
Formation energy   -0.3 eV/f.u.

Lattice parameters (Å, degrees): 5.370 5.370 5.370 60.00 60.00 60.00
Sites, in units of the cell vectors:
Ca 0.000 0.000 0.000
Sm 0.250 0.250 0.250
Ru 0.125 0.625 0.625
Ru 0.625 0.125 0.625
Ru 0.625 0.625 0.125
Ru 0.625 0.625 0.625

CaSm4Ru2 | PBE | relaxed

Electronic total energy   -5.788 eV/atom
Space-group type   Cc
Formation energy   -1.1 eV/f.u.

Lattice parameters (Å, degrees): 9.306 9.306 6.505 105.85 105.85 120.40
Sites, in units of the cell vectors:
Ca 0.143 0.857 0.500
Ca 0.857 0.143 0.000
Sm 0.243 0.372 0.890
Sm 0.357 0.841 0.058
Sm 0.372 0.243 0.390
Sm 0.378 0.663 0.510
Sm 0.663 0.378 0.010
Sm 0.761 0.894 0.361
Sm 0.841 0.357 0.558
Sm 0.894 0.761 0.861
Ru 0.048 0.547 0.048
Ru 0.547 0.048 0.548
Ru 0.560 0.581 0.857
Ru 0.581 0.560 0.357

CaTbSmRu | PBE | relaxed

Electronic total energy   -5.076 eV/atom
Space-group type   F-43m
Formation energy   0.3 eV/f.u.

Lattice parameters (Å, degrees): 7.363 7.363 7.363 90.00 90.00 90.00
Sites, in units of the cell vectors:
Ca 0.000 0.000 0.000
Ca 0.000 0.500 0.500
Ca 0.500 0.000 0.500
Ca 0.500 0.500 0.000
Tb 0.250 0.250 0.750
Tb 0.250 0.750 0.250
Tb 0.750 0.250 0.250
Tb 0.750 0.750 0.750
Sm 0.250 0.250 0.250
Sm 0.250 0.750 0.750
Sm 0.750 0.250 0.750
Sm 0.750 0.750 0.250
Ru 0.000 0.000 0.500
Ru 0.000 0.500 0.000
Ru 0.500 0.000 0.000
Ru 0.500 0.500 0.500

CaSmYRu | PBE | relaxed

Electronic total energy   -5.533 eV/atom
Space-group type   F-43m
Formation energy   0.3 eV/f.u.

Lattice parameters (Å, degrees): 7.365 7.365 7.365 90.00 90.00 90.00
Sites, in units of the cell vectors:
Ca 0.000 0.000 0.000
Ca 0.000 0.500 0.500
Ca 0.500 0.000 0.500
Ca 0.500 0.500 0.000
Sm 0.250 0.250 0.250
Sm 0.250 0.750 0.750
Sm 0.750 0.250 0.750
Sm 0.750 0.750 0.250
Y 0.250 0.250 0.750
Y 0.250 0.750 0.250
Y 0.750 0.250 0.250
Y 0.750 0.750 0.750
Ru 0.000 0.000 0.500
Ru 0.000 0.500 0.000
Ru 0.500 0.000 0.000
Ru 0.500 0.500 0.500

CaSmZnRu | PBE | relaxed

Energy above the lowest structure with this stoichiometry   0.39 eV/f.u.
Electronic total energy   -4.415 eV/atom
Space-group type   F-43m
Formation energy   -0.4 eV/f.u.

Lattice parameters (Å, degrees): 7.058 7.058 7.058 90.00 90.00 90.00
Sites, in units of the cell vectors:
Ca 0.000 0.000 0.000
Ca 0.000 0.500 0.500
Ca 0.500 0.000 0.500
Ca 0.500 0.500 0.000
Sm 0.000 0.000 0.500
Sm 0.000 0.500 0.000
Sm 0.500 0.000 0.000
Sm 0.500 0.500 0.500
Zn 0.250 0.250 0.750
Zn 0.250 0.750 0.250
Zn 0.750 0.250 0.250
Zn 0.750 0.750 0.750
Ru 0.250 0.250 0.250
Ru 0.250 0.750 0.750
Ru 0.750 0.250 0.750
Ru 0.750 0.750 0.250

CaSmZnRu | PBE | relaxed

Energy above the lowest structure with this stoichiometry   0.00 eV/f.u.
Electronic total energy   -4.512 eV/atom
Space-group type   Amm2
Formation energy   -0.8 eV/f.u.

Lattice parameters (Å, degrees): 4.048 4.128 11.334 90.00 90.00 90.00
Sites, in units of the cell vectors:
Ca 0.000 0.000 0.000
Ca 0.000 0.500 0.500
Sm 0.500 0.000 0.716
Sm 0.500 0.500 0.216
Zn 0.500 0.000 0.420
Zn 0.500 0.500 0.920
Ru 0.000 0.000 0.281
Ru 0.000 0.500 0.781

CaSn2Ru | PBE | relaxed

Electronic total energy   -5.206 eV/atom
Space-group type   Pnma
Formation energy   -1.5 eV/f.u.

Lattice parameters (Å, degrees): 16.132 7.621 5.920 90.00 90.00 90.00
Sites, in units of the cell vectors:
Ca 0.104 0.250 0.240
Ca 0.139 0.750 0.022
Ca 0.361 0.250 0.522
Ca 0.396 0.750 0.740
Ca 0.604 0.250 0.260
Ca 0.639 0.750 0.478
Ca 0.861 0.250 0.978
Ca 0.896 0.750 0.760
Sn 0.038 0.050 0.745
Sn 0.038 0.450 0.745
Sn 0.212 0.547 0.513
Sn 0.212 0.953 0.513
Sn 0.288 0.047 0.013
Sn 0.288 0.453 0.013
Sn 0.462 0.550 0.245
Sn 0.462 0.950 0.245
Sn 0.538 0.050 0.755
Sn 0.538 0.450 0.755
Sn 0.712 0.547 0.987
Sn 0.712 0.953 0.987
Sn 0.788 0.047 0.487
Sn 0.788 0.453 0.487
Sn 0.962 0.550 0.255
Sn 0.962 0.950 0.255
Ru 0.072 0.750 0.506
Ru 0.182 0.250 0.761
Ru 0.318 0.750 0.261
Ru 0.428 0.250 0.006
Ru 0.572 0.750 0.994
Ru 0.682 0.250 0.739
Ru 0.818 0.750 0.239
Ru 0.928 0.250 0.494

CaSn2Ru | PBE | relaxed

Electronic total energy   -4.692 eV/atom
Space-group type   I-42d
Formation energy   0.5 eV/f.u.

Lattice parameters (Å, degrees): 5.242 5.242 17.305 90.00 90.00 90.00
Sites, in units of the cell vectors:
Ca 0.000 0.000 0.000
Ca 0.000 0.500 0.250
Ca 0.500 0.000 0.750
Ca 0.500 0.500 0.500
Sn 0.119 0.250 0.625
Sn 0.250 0.619 0.875
Sn 0.250 0.881 0.375
Sn 0.381 0.250 0.125
Sn 0.619 0.750 0.125
Sn 0.750 0.119 0.375
Sn 0.750 0.381 0.875
Sn 0.881 0.750 0.625
Ru 0.000 0.000 0.500
Ru 0.000 0.500 0.750
Ru 0.500 0.000 0.250
Ru 0.500 0.500 0.000

Results for calculated volume: 16.6; 15.9; 16.0; 15.3; 15.3; 27.5; 19.8; 15.1; 16.6; 20.4; 23.5; 17.4; 18.3; 29.0; 25.0; 25.0; 22.0; 23.7; 22.7; 29.7 (in A^3/atom, following the order of the records).